Record 1
Here is TeRu2W after structural relaxation from Alexandria via LeMat-Bulk. Energies are from PBEsol.

a = 2.9809 Å, b = 4.0563 Å, c = 5.3044 Å
α = 90.00°, β = 90.00°, γ = 90.00°
Positions (direct):
Ru  0.0000  0.0000  0.9643
Ru  0.5000  0.5000  0.2784
Te  0.0000  0.0000  0.4650
W  0.5000  0.5000  0.7924

Summary:
**Energy**: -8.96 eV per atom
**Formation energy from raw total energies**: 462 meV/atom
**Size of the total moment**: 0.0 μB per formula unit

***

Record 2
Here is AlZn2Tc after structural relaxation from Alexandria via LeMat-Bulk. Energies are from PBEsol.

a = 2.7550 Å, b = 2.7550 Å, c = 8.8896 Å
α = 81.09°, β = 81.09°, γ = 60.00°
Positions (direct):
Zn  0.2518  0.2518  0.2445
Zn  0.7482  0.7482  0.7555
Tc  0.0000  0.0000  0.0000
Al  0.5000  0.5000  0.5000

Summary:
**Energy**: -4.52 eV per atom
**Size of the total moment**: 0.0 μB per formula unit

***

Record 3
Here is CrF3 after structural relaxation from Alexandria via LeMat-Bulk. Energies are from PBEsol.

a = 4.8921 Å, b = 4.8921 Å, c = 5.2332 Å
α = 62.13°, β = 62.13°, γ = 60.00°
Positions (direct):
Cr  0.0000  0.0000  0.0000
Cr  0.5000  0.5000  0.5000
F  0.8836  0.2500  0.2500
F  0.2500  0.6164  0.2500
F  0.3836  0.1164  0.7500
F  0.7500  0.3836  0.7500
F  0.1164  0.7500  0.7500
F  0.6164  0.8836  0.2500

Summary:
**Energy**: -6.61 eV per atom
**Formation energy from raw total energies**: -2601 meV/atom
**Size of the total moment**: 3.0 μB per formula unit

***

Record 4
Here is PdPtW2Cl after structural relaxation from Alexandria via LeMat-Bulk. Energies are from PBEsol.

a = 4.3231 Å, b = 4.3231 Å, c = 4.4286 Å
α = 90.00°, β = 90.00°, γ = 90.00°
Positions (direct):
Pd  0.5000  0.5000  0.5000
W  0.0000  0.5000  0.0000
W  0.5000  0.0000  0.0000
Pt  0.0000  0.0000  0.5000
Cl  0.0000  0.0000  0.0000

Summary:
**Energy**: -7.12 eV per atom
**Formation energy from raw total energies**: 1393 meV/atom
**Size of the total moment**: 0.0 μB per formula unit

***

Record 5
Here is ReNiIr2 after structural relaxation from Alexandria via LeMat-Bulk. Energies are from PBEsol.

a = 2.7082 Å, b = 2.7082 Å, c = 7.2891 Å
α = 90.00°, β = 90.00°, γ = 90.00°
Positions (direct):
Re  0.5000  0.5000  0.5000
Ir  0.0000  0.0000  0.7568
Ir  0.0000  0.0000  0.2432
Ni  0.5000  0.5000  0.0000

Summary:
**Distance to the lowest polymorph of the same formula**: 42.4 meV per atom
**Energy**: -9.87 eV per atom
**Size of the total moment**: 0.5 μB per formula unit

***

Record 6
Here is SeBr2O after structural relaxation from Alexandria via LeMat-Bulk. Energies are from PBEsol.

a = 3.5891 Å, b = 3.5891 Å, c = 8.1324 Å
α = 77.25°, β = 77.25°, γ = 60.00°
Positions (direct):
O  0.0000  0.0000  0.0000
Se  0.5000  0.5000  0.5000
Br  0.9174  0.9174  0.2477
Br  0.0826  0.0826  0.7523

Summary:
**Energy**: -2.67 eV per atom
**Formation energy from raw total energies**: 541 meV/atom
**Size of the total moment**: 0.0 μB per formula unit

***

Record 7
Here is MgAgSe2 after structural relaxation from Alexandria via LeMat-Bulk. Energies are from PBEsol.

a = 3.8470 Å, b = 3.8470 Å, c = 5.4012 Å
α = 90.00°, β = 90.00°, γ = 90.00°
Positions (direct):
Mg  0.5000  0.5000  0.5000
Ag  0.0000  0.0000  0.0000
Se  0.0000  0.0000  0.5000
Se  0.5000  0.5000  0.0000

Summary:
**Energy**: -3.82 eV per atom
**Formation energy from raw total energies**: -643 meV/atom
**Size of the total moment**: 0.0 μB per formula unit

***

Record 8
Here is ZnTc3C after structural relaxation from Alexandria via LeMat-Bulk. Energies are from PBEsol.

a = 4.4146 Å, b = 4.4146 Å, c = 4.4146 Å
α = 90.00°, β = 90.00°, γ = 90.00°
Positions (direct):
C  0.5000  0.5000  0.5000
Zn  0.0000  0.0000  0.0000
Tc  0.0000  0.5000  0.0000
Tc  0.0000  0.0000  0.5000
Tc  0.5000  0.0000  0.0000

Summary:
**Energy**: -5.81 eV per atom
**Size of the total moment**: 2.6 μB per formula unit

***

Q: Look up the energy of the seventh one.
A: -3.82 eV per atom